DFT (PBE) results for a relaxed structure of Pm2NbSiRh6.

Geometry as CIF:
```
data_Pm2NbSiRh6
_chemical_formula_sum 'Pm2 Nb1 Si1 Rh6'
_symmetry_space_group_name_H-M 'P -1'
_symmetry_Int_Tables_number 2
_symmetry_space_group_name_Hall '-P 1'
_cell_length_a 6.068
_cell_length_b 6.088
_cell_length_c 7.068
_cell_angle_alpha 64.86
_cell_angle_beta 64.72
_cell_angle_gamma 60.21
loop_
_atom_site_label
_atom_site_fract_x
_atom_site_fract_y
_atom_site_fract_z
_atom_site_occupancy
Pm1 0.233 0.234 0.300 1
Nb1 0.500 0.500 0.500 1
Si1 0.000 0.000 0.000 1
Rh1 0.245 0.699 0.811 1
Rh2 0.246 0.244 0.806 1
Rh3 0.299 0.756 0.192 1
```

Results
The value obtained for the density of states at the Fermi level is 4.34 states/eV/cell. For the size of the total moment, the calculation gives 0.00 μB per cell. For the uncorrected formation energy, the calculation gives -419 meV per atom. As for the crystal system: triclinic.


DFT (PBE) results for a relaxed structure of LiTb2Pd9.

Geometry as CIF:
```
data_LiTb2Pd9
_chemical_formula_sum 'Li1 Tb2 Pd9'
_symmetry_space_group_name_H-M 'P 4/m m m'
_symmetry_Int_Tables_number 123
_symmetry_space_group_name_Hall '-P 4 2'
_cell_length_a 4.127
_cell_length_b 4.127
_cell_length_c 11.786
_cell_angle_alpha 90.00
_cell_angle_beta 90.00
_cell_angle_gamma 90.00
loop_
_atom_site_label
_atom_site_fract_x
_atom_site_fract_y
_atom_site_fract_z
_atom_site_occupancy
Li1 0.000 0.000 0.000 1
Tb1 0.000 0.000 0.325 1
Pd1 0.000 0.500 0.152 1
Pd2 0.000 0.500 0.500 1
Pd3 0.500 0.500 0.000 1
Pd4 0.500 0.500 0.325 1
```

Results
The value obtained for the density of states at the Fermi level is 10.23 states/eV/cell. As for the formation energy: -0.65 eV/atom. For the size of the total moment, the calculation gives 0.00 μB per cell. As for the crystal system: tetragonal.